# 1
The following is a DFT calculation (PBE) of a relaxed structure of LiTb5Zn4.

Cell: 3.614 3.614 17.994 Å, 90.00 90.00 90.00°
Sites, in units of the cell vectors:
Li 0.000 0.000 0.000
Tb 0.500 0.500 0.110
Tb 0.500 0.500 0.304
Tb 0.500 0.500 0.500
Tb 0.500 0.500 0.696
Tb 0.500 0.500 0.890
Zn 0.000 0.000 0.204
Zn 0.000 0.000 0.401
Zn 0.000 0.000 0.599
Zn 0.000 0.000 0.796

Summary:
Density of states at the Fermi level, states/eV per cell: 12.04
Space group: P4/mmm
Formation energy, eV per atom: -0.253

=====

# 2
The following is a DFT calculation (PBE) of a relaxed structure of Hf2ZrCu2.

Cell: 7.739 7.739 3.086 Å, 90.00 90.00 90.00°
Sites, in units of the cell vectors:
Hf 0.344 0.844 0.000
Hf 0.844 0.656 0.000
Hf 0.656 0.156 0.000
Hf 0.156 0.344 0.000
Cu 0.138 0.638 0.500
Cu 0.638 0.862 0.500
Cu 0.862 0.362 0.500
Cu 0.362 0.138 0.500
Zr 0.000 0.000 0.000
Zr 0.500 0.500 0.000

Summary:
Density of states at the Fermi level, states/eV per cell: 11.73
E above lowest polymorph, eV per atom: 0.170
Space group: P4/mbm
Formation energy, eV per atom: 0.094

=====

# 3
The following is a DFT calculation (PBE) of a relaxed structure of SrZn2Br.

Cell: 5.793 5.793 5.793 Å, 131.18 131.18 71.52°
Sites, in units of the cell vectors:
Br 0.500 0.500 0.000
Sr 0.750 0.250 0.500
Zn 0.000 0.000 0.000
Zn 0.250 0.750 0.500

Summary:
Density of states at the Fermi level, states/eV per cell: 3.08
E above lowest polymorph, eV per atom: 0.190
Space group: I-4m2
E_form (uncorrected), eV per atom: -0.436

=====

# 4
The following is a DFT calculation (PBE) of a relaxed structure of BeAlAs2.

Cell: 3.498 3.869 5.220 Å, 74.11 90.00 90.00°
Sites, in units of the cell vectors:
Be 0.500 0.250 0.250
As 0.000 0.013 0.033
As 0.000 0.487 0.467
Al 0.500 0.750 0.750

Summary:
Density of states at the Fermi level, states/eV per cell: 1.09
E above lowest polymorph, eV per atom: 0.353
Space group: P2/m
Formation energy, eV per atom: 0.184

=====

# 5
The following is a DFT calculation (PBE) of a relaxed structure of TlAg2RuCl6.

Cell: 6.820 6.822 8.021 Å, 90.00 115.18 120.00°
Site moments in Bohr magnetons follow the coordinates.
Sites, in units of the cell vectors:
Tl 0.997 0.498 0.480  0.00
Ag 0.355 0.677 0.019  0.02
Ag 0.638 0.318 0.942  0.02
Ru 0.997 0.998 0.980  0.75
Cl 0.579 0.930 0.787  0.02
Cl 0.415 0.066 0.173  0.02
Cl 0.840 0.773 0.173  0.02
Cl 0.122 0.347 0.173  0.02
Cl 0.872 0.648 0.787  0.02
Cl 0.153 0.223 0.787  0.02

Summary:
Density of states at the Fermi level, states/eV per cell: 6.70
Space group: R-3
E_form (uncorrected), eV per atom: -0.574

=====

# 6
The following is a DFT calculation (PBE) of a relaxed structure of Ac5La12Sm2.

Cell: 6.502 11.229 11.229 Å, 66.91 79.62 79.62°
Sites, in units of the cell vectors:
Ac 0.434 0.215 0.215
Ac 0.860 0.327 0.327
Ac 0.500 0.000 0.000
Ac 0.140 0.673 0.673
Ac 0.566 0.785 0.785
La 0.002 0.880 0.880
La 0.198 0.555 0.048
La 0.198 0.048 0.555
La 0.617 0.642 0.157
La 0.617 0.157 0.642
La 0.273 0.449 0.449
La 0.727 0.551 0.551
La 0.383 0.358 0.843
La 0.383 0.843 0.358
La 0.802 0.445 0.952
La 0.802 0.952 0.445
La 0.998 0.120 0.120
Sm 0.000 0.229 0.771
Sm 0.000 0.771 0.229

Summary:
Density of states at the Fermi level, states/eV per cell: 32.55
Space group: C2/m
Formation energy, eV per atom: 0.086